# YHo2CdO

A relaxed YHo2CdO crystal (PBE-GGA, Alexandria via LeMat-Bulk).

Results
calculated volume: 108.98 Å³/cell
magnetization: 0.00 μB/cell
total DFT energy (no corrections): -5.625 eV/atom
symmetry: P4/mmm
energy relative to the elements, uncorrected: -1326 meV per atom

Geometry as POSCAR:
```
YHo2CdO
1.0
4.806 0.000 0.000
0.000 4.762 0.000
0.000 0.000 4.762
Y Cd O Ho
1 1 1 2
direct
0.500 0.000 0.000
0.500 0.500 0.500
0.000 0.000 0.000
0.000 0.500 0.000
0.000 0.000 0.500
```

# Ho3CdOs

A relaxed Ho3CdOs crystal (PBE-GGA, Alexandria via LeMat-Bulk).

Results
calculated volume: 284.91 Å³/cell
formation energy from the elements: -0.144 eV/atom
magnetization: 0.00 μB/cell
ΔE to the lowest computed polymorph: 164.4 meV/atom
total DFT energy (no corrections): -5.320 eV/atom
symmetry: Cmmm

Geometry as POSCAR:
```
Ho3CdOs
1.0
-2.098 2.520 2.006
0.611 -5.205 7.178
7.175 2.176 4.773
Ho Cd Os
6 2 2
direct
0.863 0.617 0.070
0.863 0.771 0.423
0.863 0.371 0.823
0.363 0.379 0.432
0.363 0.009 0.061
0.863 0.018 0.670
0.863 0.194 0.246
0.363 0.694 0.746
0.363 0.694 0.247
0.363 0.194 0.747
```

# Ho7Cd2Os2

A relaxed Ho7Cd2Os2 crystal (PBE-GGA, Alexandria via LeMat-Bulk).

Results
calculated volume: 310.60 Å³/cell
formation energy from the elements: -0.154 eV/atom
magnetization: 0.00 μB/cell
total DFT energy (no corrections): -5.275 eV/atom
symmetry: Cmmm

Geometry as POSCAR:
```
Ho7Cd2Os2
1.0
6.696 -0.003 -0.728
0.003 7.123 0.003
-1.144 -0.002 6.637
Ho Cd Os
7 2 2
direct
0.500 0.760 0.500
0.000 0.249 0.500
0.000 0.751 0.500
0.000 0.000 0.000
0.500 0.249 0.000
0.500 0.240 0.500
0.500 0.751 0.000
0.176 0.500 0.176
0.824 0.500 0.824
0.290 0.000 0.710
0.710 0.000 0.290
```

# Ho4CdOs

A relaxed Ho4CdOs crystal (PBE-GGA, Alexandria via LeMat-Bulk).

Results
calculated volume: 624.78 Å³/cell
formation energy from the elements: -0.288 eV/atom
magnetization: 0.00 μB/cell
ΔE to the lowest computed polymorph: 0.0 meV/atom
total DFT energy (no corrections): -5.364 eV/atom
symmetry: F-43m

Geometry as POSCAR:
```
Ho4CdOs
1.0
-0.394 3.156 9.054
7.971 3.099 4.352
1.119 9.344 1.877
Ho Os Cd
16 4 4
direct
0.941 0.559 0.941
0.404 0.404 0.789
0.809 0.191 0.809
0.559 0.941 0.559
0.941 0.559 0.559
0.191 0.809 0.191
0.404 0.404 0.404
0.559 0.941 0.941
0.941 0.941 0.559
0.809 0.191 0.191
0.559 0.559 0.941
0.404 0.789 0.404
0.789 0.404 0.404
0.809 0.809 0.191
0.191 0.191 0.809
0.191 0.809 0.809
0.167 0.611 0.611
0.611 0.611 0.611
0.611 0.611 0.167
0.611 0.167 0.611
0.170 0.491 0.170
0.170 0.170 0.170
0.170 0.170 0.491
0.491 0.170 0.170
```

# Ho8CdOs2

A relaxed Ho8CdOs2 crystal (PBE-GGA, Alexandria via LeMat-Bulk).

Results
calculated volume: 284.61 Å³/cell
formation energy from the elements: -0.187 eV/atom
magnetization: 0.00 μB/cell
total DFT energy (no corrections): -5.641 eV/atom
symmetry: Imm2

Geometry as POSCAR:
```
Ho8CdOs2
1.0
-2.817 -4.002 -1.792
2.889 0.760 -6.237
5.732 -3.362 6.076
Cd Ho Os
1 8 2
direct
0.137 0.977 0.909
0.926 0.434 0.489
0.303 0.351 0.243
0.346 0.854 0.329
0.137 0.550 0.909
0.969 0.017 0.575
0.636 0.273 0.909
0.747 0.931 0.130
0.526 0.710 0.689
0.466 0.281 0.569
0.806 0.621 0.249
```

# Ho2CdOs

A relaxed Ho2CdOs crystal (PBE-GGA, Alexandria via LeMat-Bulk).

Results
calculated volume: 87.95 Å³/cell
formation energy from the elements: -0.231 eV/atom
magnetization: 0.00 μB/cell
ΔE to the lowest computed polymorph: 98.7 meV/atom
total DFT energy (no corrections): -5.556 eV/atom
symmetry: Fm-3m

Geometry as POSCAR:
```
Ho2CdOs
1.0
-0.679 4.046 2.844
1.507 -0.013 4.759
3.920 2.764 1.384
Os Ho Cd
1 2 1
direct
0.500 0.500 0.500
0.250 0.250 0.250
0.750 0.750 0.750
0.000 0.000 0.000
```

# Ho2CdOs

A relaxed Ho2CdOs crystal (PBE-GGA, Alexandria via LeMat-Bulk).

Results
calculated volume: 91.37 Å³/cell
formation energy from the elements: -0.329 eV/atom
magnetization: 0.00 μB/cell
ΔE to the lowest computed polymorph: 0.0 meV/atom
total DFT energy (no corrections): -5.654 eV/atom
symmetry: P4/mmm

Geometry as POSCAR:
```
Ho2CdOs
1.0
3.434 0.000 0.000
0.000 3.434 0.000
0.000 0.000 7.749
Cd Ho Os
1 2 1
direct
0.500 0.500 0.500
0.000 0.000 0.213
0.000 0.000 0.787
0.500 0.500 0.000
```

# Ho3CdOs

A relaxed Ho3CdOs crystal (PBE-GGA, Alexandria via LeMat-Bulk).

Results
calculated volume: 252.03 Å³/cell
formation energy from the elements: -0.309 eV/atom
magnetization: 0.00 μB/cell
ΔE to the lowest computed polymorph: 0.0 meV/atom
total DFT energy (no corrections): -5.484 eV/atom
symmetry: Fmmm

Geometry as POSCAR:
```
Ho3CdOs
1.0
-0.209 -5.495 1.887
5.094 2.546 1.168
-5.337 4.017 5.555
Os Ho Cd
2 6 2
direct
0.750 0.750 0.000
0.250 0.250 0.000
0.921 0.801 0.722
0.299 0.799 0.097
0.699 0.579 0.278
0.079 0.199 0.278
0.301 0.421 0.722
0.701 0.201 0.903
0.709 0.209 0.500
0.291 0.791 0.500
```

# Ho5Cd2Os2

A relaxed Ho5Cd2Os2 crystal (PBE-GGA, Alexandria via LeMat-Bulk).

Results
calculated volume: 457.44 Å³/cell
formation energy from the elements: -0.277 eV/atom
magnetization: 0.00 μB/cell
total DFT energy (no corrections): -5.519 eV/atom
symmetry: Cmce

Geometry as POSCAR:
```
Ho5Cd2Os2
1.0
-4.738 -5.134 -2.462
5.380 -5.258 0.611
-4.723 -4.082 6.457
Ho Cd Os
10 4 4
direct
0.200 0.182 0.239
0.938 0.318 0.761
0.562 0.818 0.239
0.700 0.318 0.239
0.500 0.500 0.000
0.062 0.682 0.239
0.000 0.000 0.000
0.438 0.182 0.761
0.800 0.818 0.761
0.300 0.682 0.761
0.223 0.000 0.554
0.777 0.000 0.446
0.723 0.500 0.554
0.277 0.500 0.446
0.116 0.380 0.000
0.384 0.880 0.000
0.884 0.620 0.000
0.616 0.120 0.000
```

# Ho4CdOs

A relaxed Ho4CdOs crystal (PBE-GGA, Alexandria via LeMat-Bulk).

Results
calculated volume: 173.21 Å³/cell
formation energy from the elements: -0.097 eV/atom
magnetization: 0.00 μB/cell
ΔE to the lowest computed polymorph: 190.5 meV/atom
total DFT energy (no corrections): -5.173 eV/atom
symmetry: C2/m

Geometry as POSCAR:
```
Ho4CdOs
1.0
-3.785 0.386 -3.235
0.057 -2.671 -4.241
-5.016 -6.741 1.208
Ho Os Cd
4 1 1
direct
0.885 0.887 0.343
0.115 0.113 0.657
0.635 0.636 0.093
0.365 0.364 0.907
0.000 0.000 0.000
0.500 0.500 0.500
```

# Ho2CdOs

A relaxed Ho2CdOs crystal (PBE-GGA, Alexandria via LeMat-Bulk).

Results
calculated volume: 131.08 Å³/cell
formation energy from the elements: 0.162 eV/atom
magnetization: 0.00 μB/cell
ΔE to the lowest computed polymorph: 491.3 meV/atom
total DFT energy (no corrections): -5.163 eV/atom
symmetry: R-3m

Geometry as POSCAR:
```
Ho2CdOs
1.0
3.959 0.000 0.000
1.980 3.429 0.000
1.980 1.143 9.656
Ho Os Cd
2 1 1
direct
0.116 0.116 0.653
0.884 0.884 0.347
0.500 0.500 0.500
0.000 0.000 0.000
```

# SmHoCdOs

A relaxed SmHoCdOs crystal (PBE-GGA, Alexandria via LeMat-Bulk).

Results
calculated volume: 91.43 Å³/cell
formation energy from the elements: -0.164 eV/atom
magnetization: 0.00 μB/cell
ΔE to the lowest computed polymorph: 94.7 meV/atom
total DFT energy (no corrections): -5.524 eV/atom
symmetry: F-43m

Geometry as POSCAR:
```
SmHoCdOs
1.0
5.057 0.000 0.000
2.528 4.379 0.000
2.528 1.460 4.129
Cd Ho Os Sm
1 1 1 1
direct
0.750 0.750 0.750
0.500 0.500 0.500
0.250 0.250 0.250
0.000 0.000 0.000
```

# SmHoCdOs

A relaxed SmHoCdOs crystal (PBE-GGA, Alexandria via LeMat-Bulk).

Results
calculated volume: 94.81 Å³/cell
formation energy from the elements: -0.258 eV/atom
magnetization: 0.00 μB/cell
ΔE to the lowest computed polymorph: 0.0 meV/atom
total DFT energy (no corrections): -5.619 eV/atom
symmetry: P4mm

Geometry as POSCAR:
```
SmHoCdOs
1.0
-2.099 -0.654 2.686
-1.565 -2.499 -1.832
5.166 -5.257 2.757
Cd Ho Os Sm
1 1 1 1
direct
0.000 0.000 0.081
0.500 0.500 0.358
0.000 0.000 0.563
0.500 0.500 0.784
```

# HoZrCdOs

A relaxed HoZrCdOs crystal (PBE-GGA, Alexandria via LeMat-Bulk).

Results
calculated volume: 82.88 Å³/cell
formation energy from the elements: -0.186 eV/atom
magnetization: 0.00 μB/cell
total DFT energy (no corrections): -6.503 eV/atom
symmetry: F-43m

Geometry as POSCAR:
```
HoZrCdOs
1.0
4.894 0.000 0.000
2.447 4.238 0.000
2.447 1.413 3.996
Zr Cd Ho Os
1 1 1 1
direct
0.000 0.000 0.000
0.750 0.750 0.750
0.500 0.500 0.500
0.250 0.250 0.250
```

# Ho3CdP2Rh9

A relaxed Ho3CdP2Rh9 crystal (PBE-GGA, Alexandria via LeMat-Bulk).

Results
calculated volume: 300.91 Å³/cell
formation energy from the elements: -0.565 eV/atom
magnetization: 0.00 μB/cell
total DFT energy (no corrections): -6.674 eV/atom
symmetry: P-3m1

Geometry as POSCAR:
```
Ho3CdP2Rh9
1.0
-4.952 -3.000 1.636
5.397 -1.817 1.943
-0.874 5.648 7.711
Rh Cd Ho P
9 1 3 2
direct
0.853 0.147 0.742
0.853 0.705 0.742
0.147 0.295 0.258
0.147 0.853 0.258
0.500 0.500 0.000
0.500 0.000 0.000
0.295 0.147 0.742
0.705 0.853 0.258
0.000 0.500 0.000
0.000 0.000 0.500
0.667 0.333 0.263
0.000 0.000 0.000
0.333 0.667 0.737
0.333 0.667 0.157
0.667 0.333 0.843
```

# Ho2PaCd

A relaxed Ho2PaCd crystal (PBE-GGA, Alexandria via LeMat-Bulk).

Results
calculated volume: 106.79 Å³/cell
formation energy from the elements: 0.143 eV/atom
magnetization: 0.00 μB/cell
ΔE to the lowest computed polymorph: 210.7 meV/atom
total DFT energy (no corrections): -4.748 eV/atom
symmetry: P4/mmm

Geometry as POSCAR:
```
Ho2PaCd
1.0
4.526 0.000 0.000
0.000 4.858 0.000
0.000 0.000 4.858
Ho Pa Cd
2 1 1
direct
0.000 0.000 0.500
0.000 0.500 0.000
0.500 0.000 0.000
0.500 0.500 0.500
```

# HoPaCd

A relaxed HoPaCd crystal (PBE-GGA, Alexandria via LeMat-Bulk).

Results
calculated volume: 174.21 Å³/cell
formation energy from the elements: 0.512 eV/atom
magnetization: 3.52 μB/cell
total DFT energy (no corrections): -4.484 eV/atom
symmetry: Fmmm

Geometry as POSCAR:
```
HoPaCd
1.0
-5.293 0.558 -0.447
-3.123 -1.193 3.582
-2.116 7.644 2.693
Pa Cd Ho
2 2 2
direct
0.250 0.500 0.500
0.750 0.500 0.500
0.168 0.664 0.000
0.832 0.336 0.000
0.401 0.000 0.198
0.599 0.000 0.802
```

# Ho2PaCd

A relaxed Ho2PaCd crystal (PBE-GGA, Alexandria via LeMat-Bulk).

Results
calculated volume: 108.55 Å³/cell
formation energy from the elements: 0.227 eV/atom
magnetization: 0.00 μB/cell
ΔE to the lowest computed polymorph: 294.5 meV/atom
total DFT energy (no corrections): -4.664 eV/atom
symmetry: R-3m

Geometry as POSCAR:
```
Ho2PaCd
1.0
-1.249 -1.943 2.290
1.796 -0.838 2.579
-3.815 8.559 7.488
Cd Ho Pa
1 2 1
direct
0.500 0.500 0.500
0.091 0.091 0.728
0.909 0.909 0.272
0.000 0.000 0.000
```

# Ho2PaCd

A relaxed Ho2PaCd crystal (PBE-GGA, Alexandria via LeMat-Bulk).

Results
calculated volume: 106.61 Å³/cell
formation energy from the elements: -0.067 eV/atom
magnetization: 0.12 μB/cell
ΔE to the lowest computed polymorph: 0.0 meV/atom
total DFT energy (no corrections): -4.959 eV/atom
symmetry: P4/mmm

Geometry as POSCAR:
```
Ho2PaCd
1.0
-2.594 -0.820 2.064
-0.317 -3.004 -1.592
5.886 -3.750 5.906
Cd Ho Pa
1 2 1
direct
0.500 0.500 0.000
0.000 0.000 0.760
0.000 0.000 0.240
0.500 0.500 0.500
```

# HoCdPb

A relaxed HoCdPb crystal (PBE-GGA, Alexandria via LeMat-Bulk).

Results
calculated volume: 79.30 Å³/cell
formation energy from the elements: -0.257 eV/atom
magnetization: 0.00 μB/cell
total DFT energy (no corrections): -3.324 eV/atom
symmetry: P3m1

Geometry as POSCAR:
```
HoCdPb
1.0
3.599 0.000 0.000
0.000 5.044 0.000
0.000 -2.522 4.368
Pb Ho Cd
1 1 1
direct
0.266 0.333 0.667
0.673 0.667 0.333
0.061 0.000 0.000
```

# HoCd4Pb

A relaxed HoCd4Pb crystal (PBE-GGA, Alexandria via LeMat-Bulk).

Results
calculated volume: 295.38 Å³/cell
formation energy from the elements: -0.188 eV/atom
magnetization: 0.00 μB/cell
ΔE to the lowest computed polymorph: 0.0 meV/atom
total DFT energy (no corrections): -2.179 eV/atom
symmetry: Cmcm

Geometry as POSCAR:
```
HoCd4Pb
1.0
5.079 -0.001 0.001
0.002 6.133 2.223
-0.001 0.028 9.493
Cd Pb Ho
8 2 2
direct
0.250 0.965 0.081
0.750 0.192 0.586
0.250 0.277 0.414
0.750 0.035 0.919
0.250 0.808 0.414
0.750 0.546 0.919
0.750 0.723 0.586
0.250 0.454 0.081
0.250 0.381 0.738
0.750 0.619 0.262
0.250 0.877 0.746
0.750 0.123 0.254
```

# HoCd2Pb2

A relaxed HoCd2Pb2 crystal (PBE-GGA, Alexandria via LeMat-Bulk).

Results
calculated volume: 257.88 Å³/cell
formation energy from the elements: -0.222 eV/atom
magnetization: 0.00 μB/cell
total DFT energy (no corrections): -2.987 eV/atom
symmetry: Cmcm

Geometry as POSCAR:
```
HoCd2Pb2
1.0
-3.017 3.347 -0.696
-1.578 -2.197 -3.730
-6.681 -7.607 7.308
Ho Cd Pb
2 4 4
direct
0.645 0.750 0.290
0.355 0.250 0.710
0.541 0.250 0.082
0.459 0.750 0.918
0.956 0.250 0.912
0.044 0.750 0.088
0.749 0.250 0.498
0.251 0.750 0.502
0.135 0.250 0.269
0.865 0.750 0.731
```

# Ho3Cd2Pb

A relaxed Ho3Cd2Pb crystal (PBE-GGA, Alexandria via LeMat-Bulk).

Results
calculated volume: 317.57 Å³/cell
formation energy from the elements: -0.361 eV/atom
magnetization: 0.00 μB/cell
total DFT energy (no corrections): -3.573 eV/atom
symmetry: Cmmm

Geometry as POSCAR:
```
Ho3Cd2Pb
1.0
-1.391 2.319 -2.658
-4.223 0.911 3.005
7.490 12.288 6.799
Cd Pb Ho
4 2 6
direct
0.000 0.000 0.326
0.000 0.000 0.674
0.000 0.500 0.174
0.000 0.500 0.826
0.000 0.500 0.500
0.000 0.000 0.000
0.500 0.500 0.000
0.500 0.500 0.332
0.500 0.500 0.668
0.500 0.000 0.168
0.500 0.000 0.832
0.500 0.000 0.500
```

# Ho7Cd2Pb2

A relaxed Ho7Cd2Pb2 crystal (PBE-GGA, Alexandria via LeMat-Bulk).

Results
calculated volume: 344.35 Å³/cell
formation energy from the elements: 0.024 eV/atom
magnetization: 0.00 μB/cell
total DFT energy (no corrections): -3.729 eV/atom
symmetry: Cmmm

Geometry as POSCAR:
```
Ho7Cd2Pb2
1.0
-5.325 2.707 -3.057
-3.763 0.929 7.377
4.627 4.518 1.791
Ho Cd Pb
7 2 2
direct
0.500 0.707 0.000
0.500 0.293 0.000
0.000 0.000 0.000
0.500 0.216 0.500
0.000 0.707 0.500
0.000 0.293 0.500
0.500 0.784 0.500
0.724 0.000 0.276
0.276 0.000 0.724
0.211 0.500 0.211
0.789 0.500 0.789
```